No. 1
SrTbTl2 | GGA-PBE | relaxed

Values from the calculation:
Space group: No. 123
DFT formation energy (eV per atom): -0.39

```
SrTbTl2
1.0
3.9178 0.0000 0.0000
0.0000 3.9178 0.0000
0.0000 0.0000 7.9919
Sr Tb Tl
1 1 2
Direct
0.0000 0.0000 0.0000
0.0000 0.0000 0.5000
0.5000 0.5000 0.2725
0.5000 0.5000 0.7275
```


No. 2
Ac4NdSm | GGA-PBE | relaxed

Values from the calculation:
Distance to the lowest polymorph of the same formula (eV/atom): 0.302
Space group: No. 216
DFT formation energy (eV per atom): 0.34

```
Ac4NdSm
1.0
0.0000 5.0730 5.0730
5.0730 0.0000 5.0730
5.0730 5.0730 0.0000
Ac Nd Sm
4 1 1
Direct
0.1248 0.1248 0.1248
0.1248 0.1248 0.6256
0.1248 0.6256 0.1248
0.6256 0.1248 0.1248
0.5000 0.5000 0.5000
0.7500 0.7500 0.7500
```


No. 3
TcP2Se | GGA-PBE | relaxed

Values from the calculation:
Space group: No. 44

```
TcP2Se
1.0
2.9315 0.0000 0.0000
0.0000 3.1973 0.0000
0.0000 0.0000 14.7825
Tc P Se
2 4 2
Direct
0.0000 0.0000 0.0000
0.5000 0.5000 0.5000
0.0000 0.0000 0.4266
0.0000 0.5000 0.6279
0.5000 0.0000 0.1279
0.5000 0.5000 0.9266
0.0000 0.5000 0.2450
0.5000 0.0000 0.7450
```


No. 4
KW2 | GGA-PBE | relaxed

Values from the calculation:
Distance to the lowest polymorph of the same formula (eV/atom): 2.538
Space group: No. 123
DFT formation energy (eV per atom): 3.53

```
KW2
1.0
5.8102 0.0000 0.0000
0.0000 5.8102 0.0000
0.0000 0.0000 2.5315
K W
1 2
Direct
0.0000 0.0000 0.0000
0.0000 0.5000 0.5000
0.5000 0.0000 0.5000
```


Number 1: N(E_F) 2.29 states/eV/f.u., total DFT energy (no corrections) -0.116 Ha/atom, theoretical density 8.9 g/cm3. Number 2: N(E_F) 9.39 states/eV/f.u., total DFT energy (no corrections) -0.146 Ha/atom, theoretical density 7.6 g/cm3. Number 3: N(E_F) 2.34 states/eV/f.u., total DFT energy (no corrections) -0.221 Ha/atom, theoretical density 5.7 g/cm3. Number 4: N(E_F) 3.80 states/eV/f.u., total DFT energy (no corrections) -0.201 Ha/atom, theoretical density 7.9 g/cm3.